(1)
Here is a relaxed structure of HoGaAg3 from Alexandria via LeMat-Bulk. Energies are from GGA-PBE.

Cell and atoms, written as POSCAR:
```
HoGaAg3
1.0
-3.4420 0.9719 -0.0771
-1.1991 -4.1407 1.3333
1.3827 5.8246 11.6964
Ho Ga Ag
2 2 6
Direct
0.5000 0.8317 0.6633
0.5000 0.1683 0.3367
0.0000 0.6230 0.2461
0.0000 0.3770 0.7539
0.0000 0.0580 0.1159
0.0000 0.9420 0.8841
0.0000 0.2780 0.5561
0.0000 0.7220 0.4439
0.5000 0.4486 0.8972
0.5000 0.5514 0.1028
```

Values from the calculation:
Symmetry: Cmmm (65)

=====

(2)
Here is a relaxed structure of Pm4Rh2Pb from Alexandria via LeMat-Bulk. Energies are from GGA-PBE.

Cell and atoms, written as POSCAR:
```
Pm4Rh2Pb
1.0
-3.3872 -7.2554 -3.7567
8.0685 2.8568 -2.2342
-0.1321 -0.9352 7.1095
Pm Rh Pb
8 4 2
Direct
0.0208 0.2470 0.4217
0.4255 0.5210 0.2851
0.8758 0.5541 0.5976
0.7686 0.1729 0.7818
0.3501 0.0223 0.2243
0.2718 0.1019 0.7248
0.4968 0.7702 0.9237
0.8051 0.6247 0.0978
0.4845 0.4064 0.6220
0.8056 0.8929 0.4404
0.6540 0.2332 0.1206
0.1421 0.5539 0.9406
0.2093 0.6930 0.4113
0.9400 0.9565 0.9084
```

Values from the calculation:
Symmetry: P1 (1)

=====

(3)
Here is a relaxed structure of Nd2SnHg2 from Alexandria via LeMat-Bulk. Energies are from GGA-PBE.

Cell and atoms, written as POSCAR:
```
Nd2SnHg2
1.0
6.8123 2.0124 4.2133
4.1410 5.7715 4.2133
1.5518 1.1028 6.0643
Nd Sn Hg
2 1 2
Direct
0.6963 0.6963 0.8232
0.3037 0.3037 0.1768
0.0000 0.0000 0.0000
0.3981 0.3981 0.5196
0.6019 0.6019 0.4804
```

Values from the calculation:
Polymorph energy (0 for the lowest one): 64.4 meV/atom
Symmetry: C2/m (12)

=====

| no. | spin magnetization (μB per atom) | energy of formation (eV/atom) |
| --- | --- | --- |
| 1 | 0.00 | -0.144 |
| 2 | 0.00 | -0.569 |
| 3 | 0.00 | -0.444 |